(1)
DFT (PBE) results for a relaxed Pr2NiSb3Pt4 crystal.

Properties
Spin magnetization ... 0.0004 μB per atom
Calculated volume ... 21.64 Å³/atom
N(E_F) ... 0.7943 states/eV/atom
Total energy ... -59.5 eV/f.u.
E_form (uncorrected) ... -763 meV per atom

Cell lengths 4.5320, 4.5320, 10.5377 Å; angles 90.00, 90.00, 90.00 degrees
Fractional positions:
Pt 0.0000 0.0000 0.0000
Pt 0.0000 0.5000 0.3799
Pt 0.5000 0.0000 0.6201
Pt 0.5000 0.5000 0.0000
Pr 0.0000 0.5000 0.7457
Pr 0.5000 0.0000 0.2543
Sb 0.0000 0.5000 0.1353
Sb 0.0000 0.0000 0.5000
Sb 0.5000 0.0000 0.8647
Ni 0.5000 0.5000 0.5000

(2)
DFT (PBE) results for a relaxed RuPb2Cl crystal.

Properties
Spin magnetization ... 0.5173 μB per atom
Calculated volume ... 24.60 Å³/atom
N(E_F) ... 0.9844 states/eV/atom
Total energy ... -17.2 eV/f.u.
E_form (uncorrected) ... 327 meV per atom

Cell lengths 3.3817, 3.3817, 9.9026 Å; angles 90.00, 90.00, 119.66 degrees
Fractional positions:
Pb 0.0000 0.0000 0.9832
Pb 0.5000 0.5000 0.2946
Cl 0.5000 0.5000 0.7020
Ru 0.0000 0.0000 0.5202

(3)
DFT (PBE) results for a relaxed AgPbI2 crystal.

Properties
Spin magnetization ... 0.0000 μB per atom
Calculated volume ... 31.66 Å³/atom
N(E_F) ... 0.8707 states/eV/atom
Total energy ... -9.8 eV/f.u.
E_form (uncorrected) ... -24 meV per atom

Cell lengths 5.6369, 5.6369, 5.6369 Å; angles 60.00, 60.00, 60.00 degrees
Fractional positions:
I 0.7500 0.7500 0.7500
I 0.2500 0.2500 0.2500
Ag 0.0000 0.0000 0.0000
Pb 0.5000 0.5000 0.5000